Entry 1:
A crystal of ScNi2Pb2 relaxed with PBEsol. Source: Alexandria via LeMat-Bulk, functional SCAN.

Symmetry: I4/mmm, No. 139
Volume: 19.41 A^3/atom

Cell: 4.0640 4.0640 6.5415 Å, 108.10 108.10 90.00°
Last column: nearest neighbours and their distance in Å.
Atoms (fractional coordinates):
Pb (0.6225, 0.6225, 0.2450)  4 Ni 2.52
Pb (0.3775, 0.3775, 0.7550)  4 Ni 2.52
Ni (0.7500, 0.2500, 0.5000)  4 Pb 2.52
Ni (0.2500, 0.7500, 0.5000)  4 Pb 2.52
Sc (0.0000, 0.0000, 0.0000)  8 Pb 3.21, 8 Ni 3.57



Entry 2:
A crystal of ScTiNiPb2 relaxed with PBEsol. Source: Alexandria via LeMat-Bulk, functional SCAN.

Symmetry: P4/mmm, No. 123
Volume: 25.15 A^3/atom

Cell: 4.2877 5.4151 5.4151 Å, 90.00 90.00 90.00°
Last column: nearest neighbours and their distance in Å.
Atoms (fractional coordinates):
Ti (0.5000, 0.5000, 0.5000)  8 Pb 3.45, 4 Ni 3.83
Pb (0.0000, 0.5000, 0.0000)  2 Sc 2.71
Pb (0.0000, 0.0000, 0.5000)  2 Sc 2.71
Sc (0.0000, 0.0000, 0.0000)  2 Ni 2.14
Ni (0.5000, 0.0000, 0.0000)  2 Sc 2.14



Entry 3:
A crystal of Ni2PbSe relaxed with PBEsol. Source: Alexandria via LeMat-Bulk, functional SCAN.

Symmetry: Fm-3m, No. 225
Volume: 15.75 A^3/atom
E_form (uncorrected): 0.370 eV per atom

Cell: 4.4662 4.4662 4.4662 Å, 60.00 60.00 60.00°
Last column: nearest neighbours and their distance in Å.
Atoms (fractional coordinates):
Ni (0.7500, 0.7500, 0.7500)  4 Pb 2.73, 4 Se 2.73
Ni (0.2500, 0.2500, 0.2500)  4 Pb 2.73, 4 Se 2.73
Pb (0.5000, 0.5000, 0.5000)  8 Ni 2.73
Se (0.0000, 0.0000, 0.0000)  8 Ni 2.73



Entry 4:
A crystal of Si2NiPb relaxed with PBEsol. Source: Alexandria via LeMat-Bulk, functional SCAN.

Symmetry: P4/mmm, No. 123
Volume: 16.77 A^3/atom
E_form (uncorrected): 0.264 eV per atom

Cell: 2.9932 2.9932 7.4894 Å, 90.00 90.00 90.00°
Last column: nearest neighbours and their distance in Å.
Atoms (fractional coordinates):
Ni (0.5000, 0.5000, 0.0000)  8 Si 2.49
Si (0.0000, 0.0000, 0.1739)  4 Ni 2.49, 1 Si 2.60
Si (0.0000, 0.0000, 0.8261)  4 Ni 2.49, 1 Si 2.60
Pb (0.5000, 0.5000, 0.5000)  4 Pb 2.99, 8 Si 3.23



Entry 5:
A crystal of Si2NiPb relaxed with PBEsol. Source: Alexandria via LeMat-Bulk, functional SCAN.

Symmetry: Cm, No. 8
Volume: 18.33 A^3/atom
E_form (uncorrected): 0.023 eV per atom

Cell: 3.7843 3.7781 6.3608 Å, 108.36 90.00 120.05°
Last column: nearest neighbours and their distance in Å.
Atoms (fractional coordinates):
Pb (0.2502, 0.5005, 0.7580)  1 Ni 2.90, 6 Si 3.08-3.22
Si (0.0408, 0.0817, 0.1276)  3 Ni 2.29-2.30
Si (0.7921, 0.5842, 0.3666)  3 Ni 2.29
Ni (0.4168, 0.8336, 0.2478)  6 Si 2.29-2.30



Entry 6:
A crystal of Si2NiPb relaxed with PBEsol. Source: Alexandria via LeMat-Bulk, functional SCAN.

Symmetry: Immm, No. 71
Volume: 17.05 A^3/atom
E_form (uncorrected): 0.481 eV per atom

Cell: 2.8240 4.9082 5.6759 Å, 115.62 104.40 90.00°
Last column: nearest neighbours and their distance in Å.
Atoms (fractional coordinates):
Pb (0.0000, 0.5000, 0.0000)  2 Pb 2.82, 4 Ni 2.83, 4 Si 3.15
Si (0.1999, 0.1999, 0.3999)  2 Ni 2.42
Si (0.8001, 0.8001, 0.6001)  2 Ni 2.42
Ni (0.5000, 0.0000, 0.0000)  4 Si 2.42



Entry 7:
A crystal of SrNi2SnPb relaxed with PBEsol. Source: Alexandria via LeMat-Bulk, functional SCAN.

Symmetry: P4/mmm, No. 123
Volume: 25.80 A^3/atom

Cell: 4.7974 4.7974 5.6049 Å, 90.00 90.00 90.00°
Last column: nearest neighbours and their distance in Å.
Atoms (fractional coordinates):
Pb (0.0000, 0.0000, 0.5000)  2 Sn 2.80
Ni (0.0000, 0.5000, 0.0000)  2 Sn 2.40
Ni (0.5000, 0.0000, 0.0000)  2 Sn 2.40
Sr (0.5000, 0.5000, 0.5000)  4 Pb 3.39, 8 Ni 3.69
Sn (0.0000, 0.0000, 0.0000)  4 Ni 2.40



Entry 8:
A crystal of SrNiPb3 relaxed with PBEsol. Source: Alexandria via LeMat-Bulk, functional SCAN.

Symmetry: Pm-3m, No. 221
Volume: 27.82 A^3/atom

Cell: 5.1814 5.1814 5.1814 Å, 90.00 90.00 90.00°
Last column: nearest neighbours and their distance in Å.
Atoms (fractional coordinates):
Sr (0.5000, 0.5000, 0.5000)  12 Pb 3.66
Ni (0.0000, 0.0000, 0.0000)  6 Pb 2.59
Pb (0.0000, 0.0000, 0.5000)  2 Ni 2.59
Pb (0.0000, 0.5000, 0.0000)  2 Ni 2.59
Pb (0.5000, 0.0000, 0.0000)  2 Ni 2.59



Entry 9:
A crystal of SrNiPb2 relaxed with PBEsol. Source: Alexandria via LeMat-Bulk, functional SCAN.

Symmetry: Immm, No. 71
Volume: 25.38 A^3/atom

Cell: 3.5245 5.8118 6.0086 Å, 118.92 107.06 90.00°
Last column: nearest neighbours and their distance in Å.
Atoms (fractional coordinates):
Pb (0.2008, 0.2008, 0.4015)  2 Ni 2.66
Pb (0.7992, 0.7992, 0.5985)  2 Ni 2.66
Sr (0.0000, 0.5000, 0.0000)  4 Ni 3.40, 8 Pb 3.45-3.52, 2 Sr 3.52
Ni (0.5000, 0.0000, 0.0000)  4 Pb 2.66



Entry 10:
A crystal of Sr3NiPb relaxed with PBEsol. Source: Alexandria via LeMat-Bulk, functional SCAN.

Symmetry: Pm-3m, No. 221
Volume: 47.98 A^3/atom

Cell: 6.2135 6.2135 6.2135 Å, 90.00 90.00 90.00°
Last column: nearest neighbours and their distance in Å.
Atoms (fractional coordinates):
Pb (0.0000, 0.0000, 0.0000)  6 Sr 3.11
Sr (0.0000, 0.5000, 0.0000)  2 Pb 3.11
Sr (0.0000, 0.0000, 0.5000)  2 Pb 3.11
Sr (0.5000, 0.0000, 0.0000)  2 Pb 3.11
Ni (0.5000, 0.5000, 0.5000)  12 Sr 4.39



Entry 11:
A crystal of Sr2Ni2Pb relaxed with PBEsol. Source: Alexandria via LeMat-Bulk, functional SCAN.

Symmetry: I4/mmm, No. 139
Volume: 25.03 A^3/atom

Cell: 5.5431 5.5431 5.5431 Å, 95.08 117.11 117.11°
Last column: nearest neighbours and their distance in Å.
Atoms (fractional coordinates):
Sr (0.5000, 0.7500, 0.2500)  4 Ni 2.98
Sr (0.5000, 0.2500, 0.7500)  4 Ni 2.98
Ni (0.0000, 0.6544, 0.6544)  1 Ni 2.31, 1 Pb 2.59
Ni (0.0000, 0.3456, 0.3456)  1 Ni 2.31, 1 Pb 2.59
Pb (0.0000, 0.0000, 0.0000)  2 Ni 2.59



Entry 12:
A crystal of Ta3NiPb relaxed with PBEsol. Source: Alexandria via LeMat-Bulk, functional SCAN.

Symmetry: Pm-3m, No. 221
Volume: 19.52 A^3/atom

Cell: 4.6038 4.6038 4.6038 Å, 90.00 90.00 90.00°
Last column: nearest neighbours and their distance in Å.
Atoms (fractional coordinates):
Ni (0.0000, 0.0000, 0.0000)  6 Ta 2.30
Ta (0.5000, 0.0000, 0.0000)  2 Ni 2.30
Ta (0.0000, 0.0000, 0.5000)  2 Ni 2.30
Ta (0.0000, 0.5000, 0.0000)  2 Ni 2.30
Pb (0.5000, 0.5000, 0.5000)  12 Ta 3.26



Entry 13:
A crystal of TcNiPb2 relaxed with PBEsol. Source: Alexandria via LeMat-Bulk, functional SCAN.

Symmetry: P2/m, No. 10
Volume: 17.73 A^3/atom
ΔE to the lowest computed polymorph: 0.000 eV per atom

Cell: 3.3653 3.3647 6.2629 Å, 90.00 89.89 90.00°
Last column: nearest neighbours and their distance in Å.
Atoms (fractional coordinates):
Tc (0.5000, 0.5000, 0.0000)  8 Pb 2.86, 2 Ni 3.13
Pb (0.9994, 0.0000, 0.2532)  4 Ni 2.83-2.84, 4 Tc 2.86, 2 Pb 3.09-3.17
Pb (0.0006, 0.0000, 0.7468)  4 Ni 2.83-2.84, 4 Tc 2.86, 2 Pb 3.09-3.17
Ni (0.5000, 0.5000, 0.5000)  8 Pb 2.83-2.84, 2 Tc 3.13



Entry 14:
A crystal of TcNiPb3 relaxed with PBEsol. Source: Alexandria via LeMat-Bulk, functional SCAN.

Symmetry: Pm-3m, No. 221
Volume: 28.07 A^3/atom

Cell: 5.1969 5.1969 5.1969 Å, 90.00 90.00 90.00°
Last column: nearest neighbours and their distance in Å.
Atoms (fractional coordinates):
Ni (0.5000, 0.5000, 0.5000)  12 Pb 3.67
Pb (0.0000, 0.0000, 0.5000)  2 Tc 2.60
Pb (0.0000, 0.5000, 0.0000)  2 Tc 2.60
Pb (0.5000, 0.0000, 0.0000)  2 Tc 2.60
Tc (0.0000, 0.0000, 0.0000)  6 Pb 2.60



Entry 15:
A crystal of Tc3NiPb relaxed with PBEsol. Source: Alexandria via LeMat-Bulk, functional SCAN.

Symmetry: Pm-3m, No. 221
Volume: 17.59 A^3/atom

Cell: 4.4474 4.4474 4.4474 Å, 90.00 90.00 90.00°
Last column: nearest neighbours and their distance in Å.
Atoms (fractional coordinates):
Tc (0.0000, 0.0000, 0.5000)  2 Ni 2.22
Tc (0.0000, 0.5000, 0.0000)  2 Ni 2.22
Tc (0.5000, 0.0000, 0.0000)  2 Ni 2.22
Pb (0.5000, 0.5000, 0.5000)  12 Tc 3.14
Ni (0.0000, 0.0000, 0.0000)  6 Tc 2.22



Listing VASP energy for the structures above in their given order: -197.988, -194.095, -126.725, -110.930, -111.893, -110.062, -164.445, -266.679, -190.637, -156.707, -152.715, -287.862, -200.206, -274.077, -190.558 eV for the cell shown.